Ca2SnHg2 after structural relaxation. Source: Alexandria via LeMat-Bulk, functional PBEsol.

Computed properties:
* spin magnetization: 0.00 μB/f.u.
* total energy: -24.91 eV per cell

Unit cell a=8.095 b=8.095 c=3.937 alpha=90.00 beta=90.00 gamma=90.00
Space group P4/mbm (No. 127)
Inequivalent atoms, fractional coordinates:
Ca1 0.172 0.328 0.000 [4 per cell]
Sn1 0.000 0.000 0.500 [2 per cell]
Hg1 0.127 0.627 0.500 [4 per cell]